(1)
# BaInCuF7 SCAN PBEsol geometry
# M_tot = 1.00 μB/f.u.
# formation energy (no corrections) = -2889.8 meV per atom
# crystal system = monoclinic
data_BaInCuF7
_chemical_formula_sum 'Ba4 In4 Cu4 F28'
_cell_length_a 9.539
_cell_length_b 9.535
_cell_length_c 7.754
_cell_angle_alpha 90.00
_cell_angle_beta 126.45
_cell_angle_gamma 90.00
_symmetry_space_group_name_H-M 'C 1 2/c 1'
_symmetry_Int_Tables_number 15
_symmetry_space_group_name_Hall '-C 2yc'
loop_
_atom_site_label
_atom_site_fract_x
_atom_site_fract_y
_atom_site_fract_z
Ba1 0.000 0.112 0.250
In1 0.000 0.500 0.000
Cu1 0.250 0.250 0.000
F1 0.000 0.401 0.750
F2 0.116 0.113 0.011
F3 0.144 0.346 0.496
F4 0.227 0.376 0.181



(2)
# ZrIn2 SCAN PBEsol geometry
# M_tot = 0.00 μB/f.u.
# crystal system = orthorhombic
# E = -394.83 eV for the cell shown
data_ZrIn2
_chemical_formula_sum 'Zr4 In8'
_cell_length_a 6.173
_cell_length_b 4.226
_cell_length_c 9.941
_cell_angle_alpha 90.00
_cell_angle_beta 90.00
_cell_angle_gamma 90.00
_symmetry_space_group_name_H-M 'P n m a'
_symmetry_Int_Tables_number 62
_symmetry_space_group_name_Hall '-P 2ac 2n'
loop_
_atom_site_label
_atom_site_fract_x
_atom_site_fract_y
_atom_site_fract_z
Zr1 0.117 0.250 0.103
In1 0.124 0.250 0.432
In2 0.151 0.250 0.769



(3)
# Mg2ReRu SCAN PBEsol geometry
# M_tot = 0.00 μB/f.u.
# crystal system = trigonal
# ΔE to the lowest computed polymorph = 236 meV per atom
data_Mg2ReRu
_chemical_formula_sum 'Mg6 Re3 Ru3'
_cell_length_a 2.7910
_cell_length_b 2.7910
_cell_length_c 27.2425
_cell_angle_alpha 90.00
_cell_angle_beta 90.00
_cell_angle_gamma 120.00
_symmetry_space_group_name_H-M 'R -3 m'
_symmetry_Int_Tables_number 166
_symmetry_space_group_name_Hall '-R 3 2"'
loop_
_atom_site_label
_atom_site_fract_x
_atom_site_fract_y
_atom_site_fract_z
Mg1 0.0000 0.0000 0.2472
Re1 0.0000 0.0000 0.0000
Ru1 0.0000 0.0000 0.5000



(4)
# Sr2LiPd2 SCAN PBEsol geometry
# M_tot = 0.15 μB/f.u.
# crystal system = tetragonal
# ΔE to the lowest computed polymorph = 278 meV per atom
data_Sr2LiPd2
_chemical_formula_sum 'Sr4 Li2 Pd4'
_cell_length_a 3.878
_cell_length_b 3.878
_cell_length_c 19.158
_cell_angle_alpha 90.00
_cell_angle_beta 90.00
_cell_angle_gamma 90.00
_symmetry_space_group_name_H-M 'I 4/m m m'
_symmetry_Int_Tables_number 139
_symmetry_space_group_name_Hall '-I 4 2'
loop_
_atom_site_label
_atom_site_fract_x
_atom_site_fract_y
_atom_site_fract_z
Sr1 0.000 0.000 0.132
Li1 0.000 0.000 0.500
Pd1 0.000 0.500 0.250



(5)
# TcTeIr2 SCAN PBEsol geometry
# M_tot = 0.00 μB/f.u.
# formation energy (no corrections) = 395.2 meV per atom
# crystal system = tetragonal
data_TcTeIr2
_chemical_formula_sum 'Tc2 Te2 Ir4'
_cell_length_a 3.952
_cell_length_b 3.952
_cell_length_c 7.955
_cell_angle_alpha 90.00
_cell_angle_beta 90.00
_cell_angle_gamma 90.00
_symmetry_space_group_name_H-M 'I 4/m m m'
_symmetry_Int_Tables_number 139
_symmetry_space_group_name_Hall '-I 4 2'
loop_
_atom_site_label
_atom_site_fract_x
_atom_site_fract_y
_atom_site_fract_z
Tc1 0.000 0.000 0.000
Te1 0.000 0.000 0.500
Ir1 0.000 0.500 0.250



(6)
# BaCa2Ni SCAN PBEsol geometry
# M_tot = 0.13 μB/f.u.
# crystal system = monoclinic
# ΔE to the lowest computed polymorph = 0 meV per atom
data_BaCa2Ni
_chemical_formula_sum 'Ba1 Ca2 Ni1'
_cell_length_a 3.650
_cell_length_b 3.650
_cell_length_c 9.745
_cell_angle_alpha 90.00
_cell_angle_beta 90.02
_cell_angle_gamma 90.00
_symmetry_space_group_name_H-M 'P 1 m 1'
_symmetry_Int_Tables_number 6
_symmetry_space_group_name_Hall 'P -2y'
loop_
_atom_site_label
_atom_site_fract_x
_atom_site_fract_y
_atom_site_fract_z
Ba1 0.000 0.000 0.000
Ca1 0.000 0.000 0.347
Ca2 0.501 0.500 0.649
Ni1 0.500 0.500 0.195



(7)
# Pr2FeSi3 SCAN PBEsol geometry
# M_tot = 3.04 μB/f.u.
# formation energy (no corrections) = -503.6 meV per atom
# crystal system = hexagonal
data_Pr2FeSi3
_chemical_formula_sum 'Pr2 Fe1 Si3'
_cell_length_a 4.0368
_cell_length_b 4.0368
_cell_length_c 8.4384
_cell_angle_alpha 90.00
_cell_angle_beta 90.00
_cell_angle_gamma 120.00
_symmetry_space_group_name_H-M 'P -6 m 2'
_symmetry_Int_Tables_number 187
_symmetry_space_group_name_Hall 'P -6 2'
loop_
_atom_site_label
_atom_site_fract_x
_atom_site_fract_y
_atom_site_fract_z
Pr1 0.0000 0.0000 0.2454
Fe1 0.6667 0.3333 0.0000
Si1 0.3333 0.6667 0.0000
Si2 0.3333 0.6667 0.5000
Si3 0.6667 0.3333 0.5000



(8)
# MnZnSi2O6 SCAN PBEsol geometry
# M_tot = 5.00 μB/f.u.
# formation energy (no corrections) = -2553.6 meV per atom
# crystal system = orthorhombic
# ΔE to the lowest computed polymorph = 7 meV per atom
data_MnZnSi2O6
_chemical_formula_sum 'Mn8 Zn8 Si16 O48'
_cell_length_a 5.294
_cell_length_b 18.443
_cell_length_c 9.026
_cell_angle_alpha 90.00
_cell_angle_beta 90.00
_cell_angle_gamma 90.00
_symmetry_space_group_name_H-M 'P b c a'
_symmetry_Int_Tables_number 61
_symmetry_space_group_name_Hall '-P 2ac 2ab'
loop_
_atom_site_label
_atom_site_fract_x
_atom_site_fract_y
_atom_site_fract_z
Mn1 0.116 0.123 0.009
Zn1 0.112 0.125 0.650
Si1 0.063 0.728 0.161
Si2 0.208 0.026 0.336
O1 0.060 0.683 0.664
O2 0.075 0.691 0.999
O3 0.082 0.552 0.209
O4 0.174 0.197 0.239
O5 0.207 0.565 0.487
O6 0.210 0.563 0.838



(9)
# Mg5Au3 SCAN PBEsol geometry
# M_tot = 0.00 μB/f.u.
# crystal system = hexagonal
# ΔE to the lowest computed polymorph = 7 meV per atom
data_Mg5Au3
_chemical_formula_sum 'Mg10 Au6'
_cell_length_a 7.9738
_cell_length_b 7.9738
_cell_length_c 5.5003
_cell_angle_alpha 90.00
_cell_angle_beta 90.00
_cell_angle_gamma 120.00
_symmetry_space_group_name_H-M 'P 63/m c m'
_symmetry_Int_Tables_number 193
_symmetry_space_group_name_Hall '-P 6c 2'
loop_
_atom_site_label
_atom_site_fract_x
_atom_site_fract_y
_atom_site_fract_z
Mg1 0.0000 0.2543 0.2500
Mg2 0.3333 0.6667 0.0000
Au1 0.0000 0.3894 0.7500



(10)
# Mg2SiIr2 SCAN PBEsol geometry
# M_tot = 0.00 μB/f.u.
# formation energy (no corrections) = -662.2 meV per atom
# crystal system = tetragonal
data_Mg2SiIr2
_chemical_formula_sum 'Mg4 Si2 Ir4'
_cell_length_a 6.099
_cell_length_b 6.099
_cell_length_c 4.351
_cell_angle_alpha 90.00
_cell_angle_beta 90.00
_cell_angle_gamma 90.00
_symmetry_space_group_name_H-M 'P 4/m b m'
_symmetry_Int_Tables_number 127
_symmetry_space_group_name_Hall '-P 4 2ab'
loop_
_atom_site_label
_atom_site_fract_x
_atom_site_fract_y
_atom_site_fract_z
Mg1 0.165 0.335 0.000
Si1 0.000 0.000 0.500
Ir1 0.148 0.648 0.500



(11)
# RbSbIrRu2 SCAN PBEsol geometry
# M_tot = 0.00 μB/f.u.
# formation energy (no corrections) = 1236.2 meV per atom
# crystal system = tetragonal
data_RbSbIrRu2
_chemical_formula_sum 'Rb1 Sb1 Ir1 Ru2'
_cell_length_a 4.841
_cell_length_b 4.841
_cell_length_c 5.063
_cell_angle_alpha 90.00
_cell_angle_beta 90.00
_cell_angle_gamma 90.00
_symmetry_space_group_name_H-M 'P 4/m m m'
_symmetry_Int_Tables_number 123
_symmetry_space_group_name_Hall '-P 4 2'
loop_
_atom_site_label
_atom_site_fract_x
_atom_site_fract_y
_atom_site_fract_z
Rb1 0.000 0.000 0.000
Sb1 0.500 0.500 0.000
Ir1 0.500 0.500 0.500
Ru1 0.000 0.500 0.500



(12)
# Ta3W5 SCAN PBEsol geometry
# M_tot = 0.00 μB/f.u.
# crystal system = orthorhombic
# ΔE to the lowest computed polymorph = 0 meV per atom
data_Ta3W5
_chemical_formula_sum 'Ta6 W10'
_cell_length_a 6.392
_cell_length_b 9.018
_cell_length_c 4.515
_cell_angle_alpha 90.00
_cell_angle_beta 90.00
_cell_angle_gamma 90.00
_symmetry_space_group_name_H-M 'C m m m'
_symmetry_Int_Tables_number 65
_symmetry_space_group_name_Hall '-C 2 2'
loop_
_atom_site_label
_atom_site_fract_x
_atom_site_fract_y
_atom_site_fract_z
Ta1 0.000 0.000 0.000
Ta2 0.000 0.250 0.500
W1 0.000 0.500 0.000
W2 0.247 0.500 0.500
W3 0.250 0.250 0.000



(13)
# Zn10Pd3 SCAN PBEsol geometry
# M_tot = 0.00 μB/f.u.
# crystal system = monoclinic
# E = -951.63 eV for the cell shown
data_Zn10Pd3
_chemical_formula_sum 'Zn40 Pd12'
_cell_length_a 8.966
_cell_length_b 12.716
_cell_length_c 7.723
_cell_angle_alpha 90.00
_cell_angle_beta 124.48
_cell_angle_gamma 90.00
_symmetry_space_group_name_H-M 'C 1 m 1'
_symmetry_Int_Tables_number 8
_symmetry_space_group_name_Hall 'C -2y'
loop_
_atom_site_label
_atom_site_fract_x
_atom_site_fract_y
_atom_site_fract_z
Zn1 0.000 0.000 0.000
Zn2 0.001 0.500 0.160
Zn3 0.075 0.327 0.036
Zn4 0.104 0.000 0.396
Zn5 0.112 0.000 0.753
Zn6 0.144 0.387 0.753
Zn7 0.211 0.188 0.730
Zn8 0.253 0.500 0.558
Zn9 0.256 0.139 0.102
Zn10 0.316 0.179 0.475
Zn11 0.381 0.365 0.404
Zn12 0.403 0.000 0.768
Zn13 0.431 0.324 0.113
Pd1 0.080 0.318 0.395
Pd2 0.258 0.500 0.094
Pd3 0.396 0.000 0.412
Pd4 0.443 0.328 0.773



(14)
# K5SnAs3 SCAN PBEsol geometry
# M_tot = 0.00 μB/f.u.
# crystal system = monoclinic
# E = -572.30 eV for the cell shown
data_K5SnAs3
_chemical_formula_sum 'K20 Sn4 As12'
_cell_length_a 9.214
_cell_length_b 8.231
_cell_length_c 17.659
_cell_angle_alpha 90.00
_cell_angle_beta 121.40
_cell_angle_gamma 90.00
_symmetry_space_group_name_H-M 'P 1 21/c 1'
_symmetry_Int_Tables_number 14
_symmetry_space_group_name_Hall '-P 2ybc'
loop_
_atom_site_label
_atom_site_fract_x
_atom_site_fract_y
_atom_site_fract_z
K1 0.001 0.173 0.421
K2 0.064 0.512 0.757
K3 0.283 0.004 0.089
K4 0.318 0.165 0.741
K5 0.416 0.518 0.077
Sn1 0.340 0.641 0.414
As1 0.080 0.741 0.920
As2 0.352 0.728 0.274
As3 0.355 0.187 0.935



(15)
# SnS2I SCAN PBEsol geometry
# M_tot = 0.00 μB/f.u.
# formation energy (no corrections) = 663.1 meV per atom
# crystal system = trigonal
# ΔE to the lowest computed polymorph = 512 meV per atom
data_SnS2I
_chemical_formula_sum 'Sn3 S6 I3'
_cell_length_a 3.5027
_cell_length_b 3.5027
_cell_length_c 27.4548
_cell_angle_alpha 90.00
_cell_angle_beta 90.00
_cell_angle_gamma 120.00
_symmetry_space_group_name_H-M 'R -3 m'
_symmetry_Int_Tables_number 166
_symmetry_space_group_name_Hall '-R 3 2"'
loop_
_atom_site_label
_atom_site_fract_x
_atom_site_fract_y
_atom_site_fract_z
Sn1 0.0000 0.0000 0.0000
S1 0.0000 0.0000 0.0908
I1 0.0000 0.0000 0.5000



(16)
# Zr2Ni2Au SCAN PBEsol geometry
# M_tot = 0.00 μB/f.u.
# crystal system = tetragonal
# ΔE to the lowest computed polymorph = 0 meV per atom
data_Zr2Ni2Au
_chemical_formula_sum 'Zr4 Ni4 Au2'
_cell_length_a 6.940
_cell_length_b 6.940
_cell_length_c 3.296
_cell_angle_alpha 90.00
_cell_angle_beta 90.00
_cell_angle_gamma 90.00
_symmetry_space_group_name_H-M 'P 4/m b m'
_symmetry_Int_Tables_number 127
_symmetry_space_group_name_Hall '-P 4 2ab'
loop_
_atom_site_label
_atom_site_fract_x
_atom_site_fract_y
_atom_site_fract_z
Zr1 0.174 0.326 0.000
Ni1 0.124 0.624 0.500
Au1 0.000 0.000 0.500



(17)
# MoW4 SCAN PBEsol geometry
# M_tot = 0.00 μB/f.u.
# crystal system = cubic
# ΔE to the lowest computed polymorph = 1805 meV per atom
data_MoW4
_chemical_formula_sum 'Mo2 W8'
_cell_length_a 5.762
_cell_length_b 5.762
_cell_length_c 5.762
_cell_angle_alpha 90.00
_cell_angle_beta 90.00
_cell_angle_gamma 90.00
_symmetry_space_group_name_H-M 'I m -3 m'
_symmetry_Int_Tables_number 229
_symmetry_space_group_name_Hall '-I 4 2 3'
loop_
_atom_site_label
_atom_site_fract_x
_atom_site_fract_y
_atom_site_fract_z
Mo1 0.000 0.000 0.000
W1 0.250 0.250 0.250